Entry 1:
VASP calculation (GGA-PBE) on a geometry-optimized POsPtC2 structure.

* DOS(E_F): 0.940 states/eV/atom
* total magnetization: 0.1 μB/f.u.
* space group: P4/mmm (123)
* calculated volume: 12.8 A^3/atom
* energy relative to the elements: 2.11 eV/atom

a = 3.685 Å, b = 4.696 Å, c = 3.685 Å
α = 90.00°, β = 90.00°, γ = 90.00°
Site moments in Bohr magnetons follow the coordinates.
Atoms (fractional coordinates):
P 0.000 0.000 0.000  0.00
C 0.000 0.000 0.500  -0.01
C 0.500 0.000 0.000  -0.01
Os 0.500 0.500 0.500  0.14
Pt 0.000 0.500 0.000  0.01

=====

Entry 2:
VASP calculation (GGA-PBE) on a geometry-optimized CaLaNd2Te4 structure.

* DOS(E_F): 0.535 states/eV/atom
* total magnetization: 0.0 μB/f.u.
* space group: Imma (74)
* calculated volume: 32.7 A^3/atom
* final energy: -5.137 eV/atom

a = 9.046 Å, b = 9.046 Å, c = 8.998 Å
α = 119.83°, β = 119.83°, γ = 90.01°
Atoms (fractional coordinates):
Ca 0.000 0.500 0.000
Ca 0.000 0.500 0.500
La 0.500 0.500 0.500
La 0.000 0.000 0.000
Nd 0.500 0.000 0.000
Nd 0.500 0.000 0.500
Nd 0.000 0.000 0.500
Nd 0.500 0.500 0.000
Te 0.248 0.744 0.996
Te 0.756 0.252 0.504
Te 0.244 0.748 0.496
Te 0.752 0.256 0.004
Te 0.752 0.748 0.003
Te 0.752 0.748 0.497
Te 0.248 0.252 0.503
Te 0.248 0.252 0.997

=====

Entry 3:
VASP calculation (GGA-PBE) on a geometry-optimized Ce2ThBi structure.

* DOS(E_F): 2.722 states/eV/atom
* total magnetization: 1.9 μB/f.u.
* space group: P4/mmm (123)
* calculated volume: 29.0 A^3/atom
* energy relative to the elements: -0.34 eV/atom

a = 4.860 Å, b = 4.887 Å, c = 4.887 Å
α = 90.00°, β = 90.00°, γ = 90.00°
Site moments in Bohr magnetons follow the coordinates.
Atoms (fractional coordinates):
Ce 0.000 0.000 0.500  0.69
Ce 0.000 0.500 0.000  0.69
Bi 0.500 0.000 0.000  -0.01
Th 0.500 0.500 0.500  0.14

=====

Entry 4:
VASP calculation (GGA-PBE) on a geometry-optimized GeBF2 structure.

* DOS(E_F): 0.330 states/eV/atom
* total magnetization: 0.0 μB/f.u.
* space group: R-3m (166)
* calculated volume: 13.5 A^3/atom
* final energy: -3.974 eV/atom

a = 7.342 Å, b = 7.342 Å, c = 7.342 Å
α = 23.18°, β = 23.18°, γ = 23.18°
Atoms (fractional coordinates):
Ge 0.000 0.000 0.000
B 0.500 0.500 0.500
F 0.903 0.903 0.903
F 0.097 0.097 0.097

=====

Entry 5:
VASP calculation (GGA-PBE) on a geometry-optimized Pm3HoHg5 structure.

* DOS(E_F): 0.976 states/eV/atom
* total magnetization: 0.0 μB/f.u.
* space group: P6_3/mcm (193)
* calculated volume: 27.2 A^3/atom
* energy relative to the elements: -0.43 eV/atom

a = 6.631 Å, b = 9.235 Å, c = 9.235 Å
α = 120.00°, β = 90.00°, γ = 90.00°
Atoms (fractional coordinates):
Pm 0.750 0.371 0.371
Pm 0.750 0.000 0.629
Pm 0.750 0.629 0.000
Pm 0.250 0.629 0.629
Pm 0.250 0.000 0.371
Pm 0.250 0.371 0.000
Ho 0.000 0.000 0.000
Ho 0.500 0.000 0.000
Hg 0.000 0.667 0.333
Hg 0.500 0.333 0.667
Hg 0.000 0.333 0.667
Hg 0.500 0.667 0.333
Hg 0.750 0.706 0.706
Hg 0.750 0.000 0.294
Hg 0.750 0.294 0.000
Hg 0.250 0.294 0.294
Hg 0.250 0.000 0.706
Hg 0.250 0.706 0.000

=====

Entry 6:
VASP calculation (GGA-PBE) on a geometry-optimized TaNbFeOs structure.

* DOS(E_F): 0.434 states/eV/atom
* total magnetization: 1.6 μB/f.u.
* space group: F-43m (216)
* calculated volume: 15.6 A^3/atom
* energy relative to the elements: -0.21 eV/atom

a = 4.455 Å, b = 4.455 Å, c = 4.455 Å
α = 60.00°, β = 60.00°, γ = 60.00°
Site moments in Bohr magnetons follow the coordinates.
Atoms (fractional coordinates):
Nb 0.500 0.500 0.500  -0.09
Os 0.250 0.250 0.250  0.07
Fe 0.750 0.750 0.750  1.82
Ta 0.000 0.000 0.000  -0.12

=====

Entry 7:
VASP calculation (GGA-PBE) on a geometry-optimized La3Sm6Dy structure.

* DOS(E_F): 1.485 states/eV/atom
* total magnetization: 0.0 μB/f.u.
* space group: Cmc2_1 (36)
* calculated volume: 35.1 A^3/atom
* energy relative to the elements: 0.18 eV/atom

a = 6.352 Å, b = 10.614 Å, c = 10.614 Å
α = 101.25°, β = 90.00°, γ = 90.00°
Atoms (fractional coordinates):
La 0.454 0.866 0.719
La 0.954 0.719 0.866
La 0.086 0.365 0.635
La 0.586 0.635 0.365
La 0.954 0.134 0.281
La 0.454 0.281 0.134
Sm 0.070 0.679 0.560
Sm 0.570 0.560 0.679
Sm 0.403 0.565 0.986
Sm 0.903 0.986 0.565
Sm 0.240 0.940 0.060
Sm 0.620 0.259 0.741
Sm 0.120 0.741 0.259
Sm 0.740 0.060 0.940
Sm 0.403 0.014 0.435
Sm 0.903 0.435 0.014
Sm 0.070 0.440 0.321
Sm 0.570 0.321 0.440
Dy 0.186 0.155 0.845
Dy 0.686 0.845 0.155

=====

Entry 8:
VASP calculation (GGA-PBE) on a geometry-optimized Ho5ErAg6 structure.

* DOS(E_F): 0.466 states/eV/atom
* total magnetization: 0.0 μB/f.u.
* space group: Cmmm (65)
* calculated volume: 23.7 A^3/atom
* energy relative to the elements: -0.33 eV/atom

a = 5.141 Å, b = 7.170 Å, c = 8.126 Å
α = 89.99°, β = 71.56°, γ = 89.98°
Atoms (fractional coordinates):
Ho 0.667 0.500 0.667
Ho 0.333 0.000 0.333
Ho 0.000 0.500 0.000
Ho 0.667 0.000 0.667
Ho 0.333 0.500 0.333
Ag 0.834 0.750 0.333
Ag 0.834 0.250 0.333
Ag 0.500 0.249 0.000
Ag 0.500 0.751 0.000
Ag 0.166 0.750 0.667
Ag 0.166 0.250 0.667
Er 0.000 0.000 0.000

=====

Entry 9:
VASP calculation (GGA-PBE) on a geometry-optimized GaAg14Sn structure.

* DOS(E_F): 0.294 states/eV/atom
* total magnetization: 0.0 μB/f.u.
* space group: Amm2 (38)
* calculated volume: 18.2 A^3/atom
* energy relative to the elements: 0.03 eV/atom

a = 5.949 Å, b = 5.949 Å, c = 9.524 Å
α = 90.00°, β = 90.00°, γ = 120.01°
Atoms (fractional coordinates):
Ga 0.539 0.461 0.500
Ag 0.209 0.791 0.000
Ag 0.708 0.292 0.000
Ag 0.039 0.458 0.500
Ag 0.210 0.292 0.000
Ag 0.542 0.961 0.500
Ag 0.708 0.790 0.000
Ag 0.379 0.127 0.753
Ag 0.379 0.127 0.247
Ag 0.873 0.621 0.753
Ag 0.873 0.621 0.247
Ag 0.376 0.624 0.749
Ag 0.376 0.624 0.251
Ag 0.874 0.126 0.754
Ag 0.874 0.126 0.246
Sn 0.040 0.960 0.500

=====

Entry 10:
VASP calculation (GGA-PBE) on a geometry-optimized Ti8NO2 structure.

* DOS(E_F): 0.625 states/eV/atom
* total magnetization: 0.0 μB/f.u.
* space group: C2/m (12)
* calculated volume: 13.4 A^3/atom
* final energy: -8.757 eV/atom

a = 4.512 Å, b = 5.836 Å, c = 5.836 Å
α = 74.16°, β = 88.50°, γ = 88.50°
Atoms (fractional coordinates):
Ti 0.769 0.901 0.318
Ti 0.231 0.682 0.099
Ti 0.725 0.832 0.832
Ti 0.275 0.168 0.168
Ti 0.769 0.318 0.901
Ti 0.231 0.099 0.682
Ti 0.247 0.619 0.619
Ti 0.753 0.381 0.381
N 0.000 0.000 0.000
O 0.741 0.612 0.612
O 0.259 0.388 0.388

=====

Entry 11:
VASP calculation (GGA-PBE) on a geometry-optimized Sr2ZnRe structure.

* DOS(E_F): 1.331 states/eV/atom
* total magnetization: 0.8 μB/f.u.
* space group: F-43m (216)
* calculated volume: 24.3 A^3/atom
* energy relative to the elements: 0.89 eV/atom

a = 5.162 Å, b = 5.162 Å, c = 5.162 Å
α = 60.00°, β = 60.00°, γ = 60.00°
Site moments in Bohr magnetons follow the coordinates.
Atoms (fractional coordinates):
Re 0.500 0.500 0.500  0.90
Sr 0.000 0.000 0.000  -0.04
Sr 0.250 0.250 0.250  0.00
Zn 0.750 0.750 0.750  -0.03

=====

Entry 12:
VASP calculation (GGA-PBE) on a geometry-optimized BeAl6Tc structure.

* DOS(E_F): 0.488 states/eV/atom
* total magnetization: 0.0 μB/f.u.
* space group: C2/m (12)
* calculated volume: 15.5 A^3/atom
* energy relative to the elements: 0.06 eV/atom

a = 6.850 Å, b = 5.011 Å, c = 5.413 Å
α = 62.43°, β = 72.26°, γ = 48.83°
Atoms (fractional coordinates):
Be 0.000 0.000 0.000
Al 0.756 0.313 0.562
Al 0.756 0.875 0.438
Al 0.244 0.125 0.562
Al 0.244 0.687 0.438
Al 0.750 0.745 0.000
Al 0.250 0.255 0.000
Tc 0.500 0.500 0.000